1.
# Mn3Al | the Alexandria database | PBE-GGA | optimized geometry
# **Space group**: Fm-3m (225)
# **Crystal system**: cubic
# **Calculated density**: 6.834 g/cm³
# **Energy of formation from the pure elements**: -0.05 eV per atom
data_Mn3Al
_chemical_formula_sum 'Mn3 Al1'
_symmetry_space_group_name_H-M 'P 1'
_symmetry_Int_Tables_number 1
_cell_length_a 4.039
_cell_length_b 4.039
_cell_length_c 4.039
_cell_angle_alpha 60.00
_cell_angle_beta 60.00
_cell_angle_gamma 60.00
loop_
_symmetry_equiv_pos_as_xyz
'x,y,z'
loop_
_atom_site_label
_atom_site_fract_x
_atom_site_fract_y
_atom_site_fract_z
_atom_site_occupancy
Mn1 0.000 0.000 0.000 1
Mn2 0.750 0.750 0.750 1
Mn3 0.500 0.500 0.500 1
Al1 0.250 0.250 0.250 1


2.
# Mn6Al7 | the Alexandria database | PBE-GGA | optimized geometry
# **Space group**: R-3m (166)
# **Crystal system**: trigonal
# **Calculated density**: 4.569 g/cm³
# **Energy of formation from the pure elements**: 0.05 eV per atom
data_Mn6Al7
_chemical_formula_sum 'Mn6 Al7'
_symmetry_space_group_name_H-M 'P 1'
_symmetry_Int_Tables_number 1
_cell_length_a 9.100
_cell_length_b 9.100
_cell_length_c 9.100
_cell_angle_alpha 32.04
_cell_angle_beta 32.04
_cell_angle_gamma 32.04
loop_
_symmetry_equiv_pos_as_xyz
'x,y,z'
loop_
_atom_site_label
_atom_site_fract_x
_atom_site_fract_y
_atom_site_fract_z
_atom_site_occupancy
Mn1 0.954 0.954 0.954 1
Mn2 0.046 0.046 0.046 1
Mn3 0.849 0.849 0.849 1
Mn4 0.151 0.151 0.151 1
Mn5 0.666 0.666 0.666 1
Mn6 0.334 0.334 0.334 1
Al1 0.920 0.415 0.415 1
Al2 0.415 0.415 0.920 1
Al3 0.415 0.920 0.415 1
Al4 0.080 0.585 0.585 1
Al5 0.585 0.080 0.585 1
Al6 0.585 0.585 0.080 1
Al7 0.500 0.500 0.500 1


Question: Which value of energy of formation from the pure elements does entry 2 give?
Answer: 0.05 eV per atom